--- P ---
## Ba3U2Se7 (PBE-GGA)

Data for an optimized crystal structure of Ba3U2Se7.

Results
* Fermi-level density of states: 30.96 states/eV/cell

Unit cell a=5.574 b=26.590 c=5.403 alpha=90.00 beta=90.00 gamma=90.00
Space group Cmmm (No. 65)
Symmetry-distinct sites (fractional):
Ba  0.000  0.000  0.000
Ba  0.000  0.180  0.000
U  0.000  0.395  0.500
Se  0.000  0.098  0.500
Se  0.000  0.292  0.500
Se  0.000  0.398  0.000
Se  0.000  0.500  0.500

--- Q ---
## Ba3U2Se7 (PBE-GGA)

Data for an optimized crystal structure of Ba3U2Se7.

Results
* Fermi-level density of states: 31.68 states/eV/cell

Unit cell a=5.499 b=5.499 c=27.185 alpha=90.00 beta=90.00 gamma=90.00
Space group I4/mmm (No. 139)
Symmetry-distinct sites (fractional):
Ba  0.000  0.000  0.000
Ba  0.000  0.000  0.179
U  0.000  0.000  0.398
Se  0.000  0.000  0.297
Se  0.000  0.000  0.500
Se  0.000  0.500  0.097

Which is the most stable structure? Q is the most stable.

--- P ---
## BaU2Se6 (PBE-GGA)

Data for an optimized crystal structure of BaU2Se6.

Results
* Fermi-level density of states: 13.91 states/eV/cell

Unit cell a=6.847 b=9.128 c=8.058 alpha=90.00 beta=99.96 gamma=90.00
Space group C2/m (No. 12)
Symmetry-distinct sites (fractional):
Ba  0.000  0.000  0.000
U  0.000  0.251  0.500
Se  0.189  0.328  0.227
Se  0.229  0.000  0.396

--- Q ---
## BaU2Se6 (PBE-GGA)

Data for an optimized crystal structure of BaU2Se6.

Results
* Fermi-level density of states: 17.12 states/eV/cell

Unit cell a=13.888 b=5.528 c=10.020 alpha=90.00 beta=122.79 gamma=90.00
Space group C2/m (No. 12)
Symmetry-distinct sites (fractional):
Ba  0.000  0.000  0.000
U  0.177  0.000  0.588
Se  0.030  0.000  0.694
Se  0.158  0.500  0.113
Se  0.204  0.500  0.570

Which is the most stable structure? Q is the most stable.

--- P ---
## Ba2U3Se8 (PBE-GGA)

Data for an optimized crystal structure of Ba2U3Se8.

Results
* Fermi-level density of states: 32.26 states/eV/cell

Unit cell a=15.581 b=8.549 c=7.271 alpha=90.00 beta=108.94 gamma=90.00
Space group C2/m (No. 12)
Symmetry-distinct sites (fractional):
Ba  0.230  0.000  0.165
U  0.000  0.244  0.500
U  0.000  0.500  0.000
Se  0.102  0.500  0.405
Se  0.107  0.274  0.896
Se  0.112  0.000  0.462

--- Q ---
## Ba2U3Se8 (PBE-GGA)

Data for an optimized crystal structure of Ba2U3Se8.

Results
* Fermi-level density of states: 29.65 states/eV/cell

Unit cell a=10.109 b=15.622 c=4.973 alpha=90.00 beta=90.00 gamma=90.00
Space group Cmmm (No. 65)
Symmetry-distinct sites (fractional):
Ba  0.000  0.236  0.000
U  0.000  0.500  0.000
U  0.224  0.000  0.500
Se  0.000  0.110  0.500
Se  0.000  0.399  0.500
Se  0.234  0.394  0.000

Which is the most stable structure? P is the most stable.